# 1
Zr5Zn4Rh | PBE | optimized geometry

```
10
Lattice="3.355 0.000 0.000 0.000 3.355 0.000 0.000 0.000 16.455" Properties=species:S:1:pos:R:3 pbc="T T T"
Zr 0.000 0.000 0.000
Zr 0.000 0.000 3.315
Zr 0.000 0.000 6.635
Zr 0.000 0.000 9.820
Zr 0.000 0.000 13.140
Zn 1.677 1.677 1.653
Zn 1.677 1.677 4.966
Zn 1.677 1.677 11.489
Zn 1.677 1.677 14.802
Rh 1.677 1.677 8.227
```

Output
crystal system = tetragonal
energy of formation from the pure elements = -36 kJ/mol of atoms
SG = No. 123

# 2
RbAgN | PBE | optimized geometry

```
6
Lattice="4.155 0.000 0.000 -0.002 5.893 0.000 -2.070 -1.903 6.615" Properties=species:S:1:pos:R:3 pbc="T T T"
Rb 0.000 0.000 0.000
Rb -0.004 3.207 2.346
Ag 0.000 1.084 5.704
Ag 2.076 0.335 3.807
N 2.075 -0.519 2.013
N 2.077 1.085 5.740
```

Output
formation energy without anion corrections = 1.88 eV/f.u.
crystal system = triclinic
SG = No. 1

# 3
Sr2TlCl | PBE | optimized geometry

```
4
Lattice="3.910 0.000 0.000 0.000 4.221 0.000 0.000 0.000 8.709" Properties=species:S:1:pos:R:3 pbc="T T T"
Sr 0.000 0.000 2.016
Sr 0.000 0.000 6.693
Tl 1.955 2.110 0.000
Cl 1.955 0.000 4.354
```

Output
formation energy without anion corrections = -4.34 eV/f.u.
crystal system = orthorhombic
excess energy over the best structure of this formula in the dataset = 0.000 eV/atom
SG = No. 47

# 4
Ba2CoAg | PBE | optimized geometry

```
8
Lattice="-4.292 4.292 3.410 4.292 -4.292 3.410 4.292 4.292 -3.410" Properties=species:S:1:pos:R:3 pbc="T T T"
Ba 2.146 1.682 -0.853
Ba 2.610 -2.146 4.263
Ba 2.146 2.610 2.558
Ba 1.682 6.437 0.853
Co 0.000 0.000 0.000
Co 0.000 4.292 1.705
Ag 4.292 0.000 1.705
Ag 0.000 0.000 3.410
```

Output
crystal system = tetragonal
excess energy over the best structure of this formula in the dataset = 0.309 eV/atom
energy of formation from the pure elements = 45 kJ/mol of atoms
SG = No. 122

# 5
Te5HPt3 | PBE | optimized geometry

```
18
Lattice="5.396 -4.257 0.000 5.396 4.257 0.000 -3.505 0.000 9.973" Properties=species:S:1:pos:R:3 pbc="T T T"
Te -0.236 0.000 3.958
Te 5.396 2.590 0.000
Te 3.186 1.657 3.013
Te -0.658 0.000 9.364
Te 4.101 1.657 6.960
Te 3.186 -1.657 3.013
Te 7.945 0.000 0.609
Te 4.101 -1.657 6.960
Te 5.396 -2.590 0.000
Te 7.523 0.000 6.015
H 0.997 0.000 6.871
H 6.291 0.000 3.102
Pt -0.592 0.000 6.660
Pt 1.406 0.000 1.754
Pt 5.396 0.000 0.000
Pt 3.644 0.000 4.987
Pt 5.881 0.000 8.219
Pt 7.879 0.000 3.313
```

Output
crystal system = monoclinic
final energy = -0.1553 hartree per atom
SG = No. 12

# 6
TeAsPdSe2 | PBE | optimized geometry

```
5
Lattice="5.030 0.000 0.000 0.000 5.030 0.000 0.000 0.000 4.772" Properties=species:S:1:pos:R:3 pbc="T T T"
Te 0.000 0.000 0.000
As 2.515 2.515 0.000
Pd 2.515 2.515 2.386
Se 0.000 2.515 2.386
Se 2.515 0.000 2.386
```

Output
formation energy without anion corrections = 2.03 eV/f.u.
crystal system = tetragonal
excess energy over the best structure of this formula in the dataset = 0.000 eV/atom
SG = No. 123

# 7
BaLiIn | PBE | optimized geometry

```
3
Lattice="0.000 3.981 3.981 3.981 0.000 3.981 3.981 3.981 0.000" Properties=species:S:1:pos:R:3 pbc="T T T"
Ba 0.000 0.000 0.000
Li 1.990 1.990 1.990
In 5.971 5.971 5.971
```

Output
crystal system = cubic
excess energy over the best structure of this formula in the dataset = 0.536 eV/atom
energy of formation from the pure elements = 25 kJ/mol of atoms
SG = No. 216

# 8
CeIn4Pd15 | PBE | optimized geometry

```
20
Lattice="4.083 0.000 0.000 0.000 4.083 0.000 0.000 0.000 20.110" Properties=species:S:1:pos:R:3 pbc="T T T"
Ce 0.000 0.000 0.000
In 0.000 0.000 4.129
In 0.000 0.000 8.069
In 0.000 0.000 12.041
In 0.000 0.000 15.981
Pd 0.000 2.042 2.063
Pd 0.000 2.042 6.081
Pd 0.000 2.042 10.055
Pd 0.000 2.042 14.029
Pd 0.000 2.042 18.047
Pd 2.042 0.000 2.063
Pd 2.042 0.000 6.081
Pd 2.042 0.000 10.055
Pd 2.042 0.000 14.029
Pd 2.042 0.000 18.047
Pd 2.042 2.042 0.000
Pd 2.042 2.042 4.064
Pd 2.042 2.042 8.071
Pd 2.042 2.042 12.040
Pd 2.042 2.042 16.046
```

Output
crystal system = tetragonal
energy of formation from the pure elements = -50 kJ/mol of atoms
SG = No. 123

# 9
ScSbI3 | PBE | optimized geometry

```
5
Lattice="5.810 0.000 0.000 0.000 5.810 0.000 0.000 0.000 5.810" Properties=species:S:1:pos:R:3 pbc="T T T"
Sc 0.000 0.000 0.000
Sb 2.905 2.905 2.905
I 0.000 0.000 2.905
I 0.000 2.905 0.000
I 2.905 0.000 0.000
```

Output
formation energy without anion corrections = -1.58 eV/f.u.
crystal system = cubic
excess energy over the best structure of this formula in the dataset = 0.000 eV/atom
SG = No. 221

# 10
AlRhPb | PBE | optimized geometry

```
3
Lattice="-1.580 1.580 6.032 1.580 -1.580 6.032 1.580 1.580 -6.032" Properties=species:S:1:pos:R:3 pbc="T T T"
Al 0.000 0.000 0.000
Rh 0.000 0.000 4.907
Pb 0.000 0.000 8.758
```

Output
crystal system = tetragonal
excess energy over the best structure of this formula in the dataset = 0.000 eV/atom
energy of formation from the pure elements = -25 kJ/mol of atoms
SG = No. 107

# 11
Ca2CoOsI | PBE | optimized geometry

```
5
Lattice="5.669 0.000 0.000 0.000 5.669 0.000 0.000 0.000 4.437" Properties=species:S:1:pos:R:3 pbc="T T T"
Ca 0.000 2.835 0.000
Ca 2.835 0.000 0.000
Co 0.000 0.000 2.219
Os 0.000 0.000 0.000
I 2.835 2.835 2.219
```

Output
formation energy without anion corrections = 1.05 eV/f.u.
crystal system = tetragonal
SG = No. 123

# 12
VGa2Cl8 | PBE | optimized geometry

```
11
Lattice="5.976 -4.807 0.000 5.976 4.807 0.000 -0.631 0.000 5.992" Properties=species:S:1:pos:R:3 pbc="T T T"
V 0.000 0.000 0.000
Ga 1.898 0.000 3.830
Ga 9.424 0.000 2.162
Cl 4.719 3.136 1.352
Cl 1.942 0.000 1.589
Cl 6.603 3.136 4.640
Cl 3.925 0.000 4.515
Cl 7.397 0.000 1.478
Cl 4.719 -3.136 1.352
Cl 9.380 0.000 4.404
Cl 6.603 -3.136 4.640
```

Output
formation energy without anion corrections = -12.36 eV/f.u.
crystal system = monoclinic
excess energy over the best structure of this formula in the dataset = 0.006 eV/atom
SG = No. 12